Version P
DFT (PBE) results for a relaxed TiTcB crystal.

POSCAR file:
```
TiTcB
1.0
3.203 0.000 0.000
0.000 3.066 0.000
-1.602 0.000 7.207
B Ti Tc
2 2 2
Direct
0.034 0.250 0.068 B
0.966 0.750 0.932 B
0.587 0.750 0.173 Ti
0.413 0.250 0.827 Ti
0.800 0.750 0.600 Tc
0.200 0.250 0.400 Tc
```

crystal system = orthorhombic


Version Q
DFT (PBE) results for a relaxed TiTcB crystal.

POSCAR file:
```
TiTcB
1.0
-1.785 0.198 2.383
-2.053 -1.652 -1.400
3.628 -2.725 1.076
Ti B Tc
1 1 1
Direct
0.960 0.960 0.921 Ti
0.642 0.642 0.283 B
0.248 0.248 0.496 Tc
```

crystal system = tetragonal


version P (374 meV/atom below the next structure)


Version P
DFT (PBE) results for a relaxed Ti2Tc2B crystal.

POSCAR file:
```
Ti2Tc2B
1.0
3.813 0.000 0.000
0.000 3.813 0.000
1.907 1.907 5.683
Ti Tc B
2 2 1
Direct
0.750 0.250 0.500 Ti
0.250 0.750 0.500 Ti
0.395 0.395 0.209 Tc
0.605 0.605 0.791 Tc
0.000 0.000 0.000 B
```

crystal system = tetragonal


Version Q
DFT (PBE) results for a relaxed Ti2Tc2B crystal.

POSCAR file:
```
Ti2Tc2B
1.0
-4.850 -1.886 2.677
2.796 0.103 5.140
-1.218 3.960 0.583
Ti Tc B
4 4 2
Direct
0.669 0.831 0.500 Ti
0.831 0.331 0.500 Ti
0.331 0.169 0.500 Ti
0.169 0.669 0.500 Ti
0.661 0.161 0.000 Tc
0.161 0.339 0.000 Tc
0.839 0.661 0.000 Tc
0.339 0.839 0.000 Tc
0.500 0.500 0.000 B
0.000 0.000 0.000 B
```

crystal system = tetragonal


version Q (1281 meV/atom below the next structure)